Computed, not measured: a relaxed CsNi2BiO crystal at the PBE with a Hubbard U level of DFT.

Cell: 5.511 4.306 5.511 Å, 90.00 90.00 90.00°
Sites, in units of the cell vectors:
1 Cs 0.000 0.000 0.000
2 Ni 0.000 0.000 0.500
3 Ni 0.500 0.000 0.000
4 Bi 0.500 0.500 0.500
5 O 0.000 0.500 0.000

Calculated values
* energy: -1.780 eV per atom